[1]
VASP calculation (PBE-GGA) on a relaxed LiN6F12 crystal.

ρ = 1.68 g/cm³
formation energy without anion corrections = -0.154 eV/atom
calculated total energy = -77.2 eV/cell
crystal system = trigonal
Fermi-level density of states = 6.53 states/eV per cell

Lattice parameters (Å, degrees): 8.4003 8.4003 8.4003 49.59 49.59 49.59
Closest atoms and distances in Å follow each position.
Sites, in units of the cell vectors:
Li: 0.0000 0.0000 0.0000  6 F 2.06
N: 0.0123 0.2835 0.5124  2 F 1.37-1.45
N: 0.2835 0.5124 0.0123  2 F 1.37-1.45
N: 0.4876 0.9877 0.7165  2 F 1.37-1.45
N: 0.5124 0.0123 0.2835  2 F 1.37-1.45
N: 0.7165 0.4876 0.9877  2 F 1.37-1.45
N: 0.9877 0.7165 0.4876  2 F 1.37-1.45
F: 0.0581 0.6796 0.0847  1 N 1.45
F: 0.0847 0.0581 0.6796  1 N 1.45
F: 0.0883 0.7393 0.5467  1 N 1.37
F: 0.2607 0.4533 0.9117  1 N 1.37
F: 0.3204 0.9153 0.9419  1 N 1.45
F: 0.4533 0.9117 0.2607  1 N 1.37
F: 0.5467 0.0883 0.7393  1 N 1.37
F: 0.6796 0.0847 0.0581  1 N 1.45
F: 0.7393 0.5467 0.0883  1 N 1.37
F: 0.9117 0.2607 0.4533  1 N 1.37
F: 0.9153 0.9419 0.3204  1 N 1.45
F: 0.9419 0.3204 0.9153  1 N 1.45

=====

[2]
VASP calculation (PBE-GGA) on a relaxed Li2NF crystal.

ρ = 1.80 g/cm³
formation energy without anion corrections = -0.843 eV/atom
calculated total energy = -34.8 eV/cell
crystal system = tetragonal
Fermi-level density of states = 0.05 states/eV per cell
ΔE to the lowest computed polymorph = 0 meV per atom

Lattice parameters (Å, degrees): 4.8746 4.8746 4.8746 115.84 115.84 97.37
Closest atoms and distances in Å follow each position.
Sites, in units of the cell vectors:
Li: 0.0899 0.6250 0.9649  2 F 1.89
Li: 0.3750 0.3399 0.4649  2 F 1.89
Li: 0.6601 0.1250 0.0351  2 F 1.89
Li: 0.8750 0.9101 0.5351  2 F 1.89
N: 0.2500 0.7500 0.5000  4 Li 2.12
N: 0.5000 0.5000 0.0000  4 Li 2.12
F: 0.0000 0.0000 0.0000  4 Li 1.89
F: 0.7500 0.2500 0.5000  4 Li 1.89

=====

[3]
VASP calculation (PBE-GGA) on a relaxed Li7N2F crystal.

ρ = 1.30 g/cm³
formation energy without anion corrections = -0.737 eV/atom
calculated total energy = -39.3 eV/cell
crystal system = orthorhombic
ΔE to the lowest computed polymorph = 84 meV per atom

Lattice parameters (Å, degrees): 5.9893 5.9893 3.7383 90.00 90.00 114.48
Closest atoms and distances in Å follow each position.
Sites, in units of the cell vectors:
Li: 0.0000 0.0000 0.0000  2 N 1.91
Li: 0.1647 0.4613 0.0000  2 N 2.03-2.07, 1 Li 2.21
Li: 0.1941 0.8059 0.5000  2 N 1.87
Li: 0.4613 0.1647 0.0000  2 N 2.03-2.07, 1 Li 2.21
Li: 0.5387 0.8353 0.0000  2 N 2.03-2.07, 1 Li 2.21
Li: 0.8059 0.1941 0.5000  2 N 1.87
Li: 0.8353 0.5387 0.0000  2 N 2.03-2.07, 1 Li 2.21
N: 0.1894 0.8106 0.0000  7 Li 1.87-2.07
N: 0.8106 0.1894 0.0000  7 Li 1.87-2.07
F: 0.5000 0.5000 0.5000  8 Li 2.68

=====

[4]
VASP calculation (PBE-GGA) on a relaxed LiN2F crystal.

ρ = 2.16 g/cm³
formation energy without anion corrections = 1.046 eV/atom
calculated total energy = -16.3 eV/cell
crystal system = trigonal
Fermi-level density of states = 0.48 states/eV per cell
ΔE to the lowest computed polymorph = 0 meV per atom

Lattice parameters (Å, degrees): 4.5256 4.5256 4.5256 44.50 44.50 44.50
Closest atoms and distances in Å follow each position.
Sites, in units of the cell vectors:
Li: 0.0000 0.0000 0.0000  6 N 1.98
N: 0.3433 0.3433 0.3433  1 F 1.91, 3 Li 1.98, 3 N 1.99
N: 0.6567 0.6567 0.6567  1 F 1.91, 3 Li 1.98, 3 N 1.99
F: 0.5000 0.5000 0.5000  2 N 1.91

=====

[5]
VASP calculation (PBE-GGA) on a relaxed Li4NF crystal.

ρ = 1.63 g/cm³
formation energy without anion corrections = -1.135 eV/atom
calculated total energy = -24.7 eV/cell
crystal system = monoclinic
ΔE to the lowest computed polymorph = 3 meV per atom

Lattice parameters (Å, degrees): 3.4736 3.4736 6.2425 106.25 106.25 60.07
Closest atoms and distances in Å follow each position.
Sites, in units of the cell vectors:
Li: 0.1101 0.1101 0.3278  1 N 1.94
Li: 0.3519 0.3519 0.0553  3 N 2.03, 3 Li 2.11
Li: 0.6481 0.6481 0.9447  3 N 2.03, 3 Li 2.11
Li: 0.8899 0.8899 0.6722  1 N 1.94
N: 0.0000 0.0000 0.0000  8 Li 1.94-2.03
F: 0.5000 0.5000 0.5000  6 Li 2.24-2.25

=====

[6]
VASP calculation (PBE-GGA) on a relaxed LiNF4 crystal.

ρ = 1.80 g/cm³
formation energy without anion corrections = -1.138 eV/atom
calculated total energy = -49.1 eV/cell
crystal system = triclinic
Fermi-level density of states = 0.00 states/eV per cell

Lattice parameters (Å, degrees): 5.4069 6.1494 6.5178 61.93 80.58 69.47
Closest atoms and distances in Å follow each position.
Sites, in units of the cell vectors:
Li: 0.2498 0.0035 0.4928  4 F 1.90
Li: 0.7502 0.9965 0.5072  4 F 1.90
N: 0.2503 0.3981 0.7042  2 F 1.36
N: 0.7497 0.6019 0.2958  2 F 1.36
F: 0.0643 0.3007 0.8505  1 N 1.36
F: 0.0731 0.7522 0.6588  2 Li 1.90, 1 N 1.94
F: 0.4273 0.0900 0.6581  2 Li 1.90, 1 N 1.94
F: 0.4364 0.3487 0.8513  1 N 1.36
F: 0.5636 0.6513 0.1487  1 N 1.36
F: 0.5727 0.9100 0.3419  2 Li 1.90, 1 N 1.94
F: 0.9269 0.2478 0.3412  2 Li 1.90, 1 N 1.94
F: 0.9357 0.6993 0.1495  1 N 1.36

=====

[7]
VASP calculation (PBE-GGA) on a relaxed NaLiNF2 crystal.

ρ = 1.66 g/cm³
formation energy without anion corrections = -0.622 eV/atom
calculated total energy = -18.4 eV/cell
crystal system = tetragonal
ΔE to the lowest computed polymorph = 349 meV per atom

Lattice parameters (Å, degrees): 4.3246 4.3246 4.3878 90.00 90.00 90.00
Closest atoms and distances in Å follow each position.
Sites, in units of the cell vectors:
Na: 0.0000 0.0000 0.0000  4 F 2.16, 2 N 2.19
Li: 0.5000 0.5000 0.5000  4 N 3.06, 8 F 3.08
N: 0.0000 0.0000 0.5000  2 Na 2.19
F: 0.0000 0.5000 0.0000  2 Na 2.16
F: 0.5000 0.0000 0.0000  2 Na 2.16

=====

[8]
VASP calculation (PBE-GGA) on a relaxed NaLiNF2 crystal.

ρ = 2.22 g/cm³
formation energy without anion corrections = -0.972 eV/atom
calculated total energy = -20.2 eV/cell
crystal system = tetragonal
ΔE to the lowest computed polymorph = 0 meV per atom

Lattice parameters (Å, degrees): 3.9316 3.9316 3.9671 90.00 90.00 90.00
Closest atoms and distances in Å follow each position.
Sites, in units of the cell vectors:
Na: 0.0000 0.0000 0.0000  4 N 2.78, 8 F 2.79
Li: 0.5000 0.5000 0.5000  4 F 1.97, 2 N 1.98
N: 0.5000 0.5000 0.0000  2 Li 1.98
F: 0.0000 0.5000 0.5000  2 Li 1.97
F: 0.5000 0.0000 0.5000  2 Li 1.97

=====

[9]
VASP calculation (PBE-GGA) on a relaxed LiNbN2F crystal.

ρ = 3.55 g/cm³
formation energy without anion corrections = -0.821 eV/atom
calculated total energy = -34.6 eV/cell
crystal system = tetragonal
Fermi-level density of states = 1.84 states/eV per cell
ΔE to the lowest computed polymorph = 0 meV per atom

Lattice parameters (Å, degrees): 4.0459 4.0459 4.1956 90.00 90.00 90.00
Closest atoms and distances in Å follow each position.
Sites, in units of the cell vectors:
Li: 0.0000 0.0000 0.0000  4 F 2.86, 8 N 2.91
Nb: 0.5000 0.5000 0.5000  4 N 2.02, 2 F 2.10
N: 0.0000 0.5000 0.5000  2 Nb 2.02
N: 0.5000 0.0000 0.5000  2 Nb 2.02
F: 0.5000 0.5000 0.0000  2 Nb 2.10

=====

[10]
VASP calculation (PBE-GGA) on a relaxed LiNbN2F crystal.

ρ = 5.51 g/cm³
formation energy without anion corrections = -0.005 eV/atom
calculated total energy = -30.5 eV/cell
crystal system = tetragonal
Fermi-level density of states = 1.48 states/eV per cell
ΔE to the lowest computed polymorph = 816 meV per atom

Lattice parameters (Å, degrees): 3.6874 3.6874 3.2537 90.00 90.00 90.00
Closest atoms and distances in Å follow each position.
Sites, in units of the cell vectors:
Li: 0.0000 0.0000 0.0000  2 F 1.63
Nb: 0.5000 0.5000 0.5000  8 N 2.46, 4 F 2.61
N: 0.0000 0.5000 0.0000  2 Li 1.84
N: 0.5000 0.0000 0.0000  2 Li 1.84
F: 0.0000 0.0000 0.5000  2 Li 1.63